Computed, not measured: Nd10In3Pb3 after structural relaxation at the PBE level of DFT.

Summary:
electronic total energy = -0.1699 Ha/atom
energy of formation = -0.435 eV/atom
V = 525.5 Å³/f.u.

Unit cell a=9.3509 b=9.3509 c=6.9400 alpha=90.00 beta=90.00 gamma=120.00
Space group P-62m (No. 189)
Symmetry-distinct sites (fractional):
Nd (0.0000, 0.2357, 0.0000) [3 per cell]
Nd (0.0000, 0.7600, 0.5000) [3 per cell]
Nd (0.3333, 0.6667, 0.2468) [4 per cell]
In (0.0000, 0.5990, 0.0000) [3 per cell]
Pb (0.0000, 0.3962, 0.5000) [3 per cell]

***

Computed, not measured: Cs3PrAl2O6 after structural relaxation at the PBE level of DFT.

Summary:
electronic total energy = -0.2220 Ha/atom
V = 269.7 Å³/f.u.
energy relative to the elements, uncorrected = -2.33 eV per atom

Unit cell a=6.3092 b=6.3092 c=7.8248 alpha=90.00 beta=90.00 gamma=120.00
Space group P-3m1 (No. 164)
Symmetry-distinct sites (fractional):
Cs (0.0000, 0.0000, 0.0000) [1 per cell]
Cs (0.3333, 0.6667, 0.7569) [2 per cell]
Pr (0.0000, 0.0000, 0.5000) [1 per cell]
Al (0.3333, 0.6667, 0.3122) [2 per cell]
O (0.1762, 0.3524, 0.3107) [6 per cell]

***

Computed, not measured: SeS after structural relaxation at the PBE level of DFT.

Summary:
electronic total energy = -0.1372 Ha/atom
excess energy over the best structure of this formula in the dataset = 0.030 eV/atom
V = 67.8 Å³/f.u.
energy relative to the elements, uncorrected = 0.07 eV per atom

Unit cell a=10.875 b=4.105 c=6.078 alpha=90.00 beta=90.91 gamma=90.00
Space group Cm (No. 8)
Symmetry-distinct sites (fractional):
Se (0.000, 0.000, 0.000) [2 per cell]
Se (0.201, 0.000, 0.002) [2 per cell]
S (0.012, 0.500, 0.668) [2 per cell]
S (0.186, 0.500, 0.670) [2 per cell]

***

Computed, not measured: MnCoAg2 after structural relaxation at the PBE level of DFT.

Summary:
electronic total energy = -0.1772 Ha/atom
energy of formation = 0.674 eV/atom
excess energy over the best structure of this formula in the dataset = 0.434 eV/atom
V = 68.2 Å³/f.u.

Unit cell a=7.191 b=7.191 c=5.272 alpha=90.00 beta=90.00 gamma=90.00
Space group I-42d (No. 122)
Symmetry-distinct sites (fractional):
Mn (0.000, 0.000, 0.000) [4 per cell]
Co (0.000, 0.000, 0.500) [4 per cell]
Ag (0.234, 0.750, 0.625) [8 per cell]

***

Computed, not measured: SrZn6Ga4 after structural relaxation at the PBE level of DFT.

Summary:
electronic total energy = -0.0766 Ha/atom
energy of formation = -0.135 eV/atom
V = 202.4 Å³/f.u.

Unit cell a=7.4735 b=7.4735 c=4.1846 alpha=90.00 beta=90.00 gamma=120.00
Space group P-6m2 (No. 187)
Symmetry-distinct sites (fractional):
Sr (0.0000, 0.0000, 0.0000) [1 per cell]
Zn (0.0710, 0.5355, 0.0000) [3 per cell]
Zn (0.4066, 0.2033, 0.5000) [3 per cell]
Ga (0.2017, 0.4034, 0.5000) [3 per cell]
Ga (0.6667, 0.3333, 0.0000) [1 per cell]

***

Computed, not measured: AcNiIr after structural relaxation at the PBE level of DFT.

Summary:
electronic total energy = -0.2441 Ha/atom
energy of formation = -0.393 eV/atom
excess energy over the best structure of this formula in the dataset = 0.084 eV/atom
V = 57.5 Å³/f.u.

Unit cell a=5.400 b=5.602 c=7.606 alpha=90.00 beta=90.00 gamma=90.00
Space group Imma (No. 74)
Symmetry-distinct sites (fractional):
Ac (0.000, 0.250, 0.123) [4 per cell]
Ni (0.250, 0.250, 0.750) [4 per cell]
Ir (0.000, 0.000, 0.500) [4 per cell]

***

Computed, not measured: Ag2PdPt after structural relaxation at the PBE level of DFT.

Summary:
electronic total energy = -0.1545 Ha/atom
energy of formation = 0.031 eV/atom
excess energy over the best structure of this formula in the dataset = 0.063 eV/atom
V = 66.4 Å³/f.u.

Unit cell a=3.990 b=3.990 c=4.168 alpha=90.00 beta=90.00 gamma=90.00
Space group P4/mmm (No. 123)
Symmetry-distinct sites (fractional):
Ag (0.000, 0.500, 0.000) [2 per cell]
Pd (0.000, 0.000, 0.500) [1 per cell]
Pt (0.500, 0.500, 0.500) [1 per cell]

***

Computed, not measured: Na4Zr3PaSe8 after structural relaxation at the PBE level of DFT.

Summary:
electronic total energy = -0.2048 Ha/atom
V = 379.0 Å³/f.u.
energy relative to the elements, uncorrected = -1.31 eV per atom

Unit cell a=7.7625 b=7.7625 c=21.7883 alpha=90.00 beta=90.00 gamma=120.00
Space group R-3m (No. 166, hexagonal axes)
Symmetry-distinct sites (fractional):
Na (0.0000, 0.0000, 0.0000) [3 per cell]
Na (0.0000, 0.5000, 0.0000) [9 per cell]
Zr (0.0000, 0.5000, 0.5000) [9 per cell]
Pa (0.0000, 0.0000, 0.5000) [3 per cell]
Se (0.0000, 0.0000, 0.2414) [6 per cell]
Se (0.0091, 0.5045, 0.7561) [18 per cell]

***

Computed, not measured: BaCdInP2 after structural relaxation at the PBE level of DFT.

Summary:
electronic total energy = -0.1350 Ha/atom
energy of formation = -0.393 eV/atom
V = 143.9 Å³/f.u.

Unit cell a=12.954 b=5.037 c=8.996 alpha=90.00 beta=101.21 gamma=90.00
Space group C2/m (No. 12)
Symmetry-distinct sites (fractional):
Ba (0.164, 0.000, 0.187) [4 per cell]
Cd (0.153, 0.000, 0.568) [4 per cell]
In (0.051, 0.500, 0.731) [4 per cell]
P (0.102, 0.000, 0.830) [4 per cell]
P (0.139, 0.500, 0.444) [4 per cell]

***

Computed, not measured: KHfCdP2 after structural relaxation at the PBE level of DFT.

Summary:
electronic total energy = -0.1728 Ha/atom
energy of formation = -0.145 eV/atom
V = 144.5 Å³/f.u.

Unit cell a=5.039 b=5.039 c=5.691 alpha=90.00 beta=90.00 gamma=90.00
Space group P4/mmm (No. 123)
Symmetry-distinct sites (fractional):
K (0.000, 0.000, 0.000) [1 per cell]
Hf (0.500, 0.500, 0.500) [1 per cell]
Cd (0.500, 0.500, 0.000) [1 per cell]
P (0.000, 0.500, 0.500) [2 per cell]

***

Computed, not measured: BiS4N3Cl4 after structural relaxation at the PBE level of DFT.

Summary:
electronic total energy = -0.1668 Ha/atom
V = 330.4 Å³/f.u.
energy relative to the elements, uncorrected = -0.14 eV per atom

Unit cell a=7.650 b=9.965 c=10.188 alpha=63.09 beta=72.60 gamma=81.35
Space group P-1 (No. 2)
Symmetry-distinct sites (fractional):
Bi (0.248, 0.119, 0.456) [2 per cell]
S (0.022, 0.637, 0.115) [2 per cell]
S (0.169, 0.541, 0.771) [2 per cell]
S (0.250, 0.103, 0.958) [2 per cell]
S (0.486, 0.651, 0.202) [2 per cell]
N (0.076, 0.205, 0.940) [2 per cell]
N (0.369, 0.477, 0.765) [2 per cell]
N (0.443, 0.182, 0.890) [2 per cell]
Cl (0.111, 0.896, 0.391) [2 per cell]
Cl (0.212, 0.339, 0.185) [2 per cell]
Cl (0.285, 0.314, 0.545) [2 per cell]
Cl (0.375, 0.888, 0.697) [2 per cell]

***

Computed, not measured: TbNi2PH after structural relaxation at the PBE level of DFT.

Summary:
electronic total energy = -0.2138 Ha/atom
V = 61.7 Å³/f.u.

Unit cell a=3.721 b=10.027 c=6.613 alpha=90.00 beta=90.00 gamma=90.00
Space group Cmcm (No. 63)
Symmetry-distinct sites (fractional):
Tb (0.000, 0.059, 0.250) [4 per cell]
Ni (0.000, 0.334, 0.059) [8 per cell]
P (0.000, 0.224, 0.750) [4 per cell]
H (0.000, 0.500, 0.000) [4 per cell]